No. 1
# SCAN TlMoRh, PBEsol geometry
data_TlMoRh
_chemical_formula_sum 'Tl1 Mo1 Rh1'
_symmetry_space_group_name_H-M 'P 1'
_symmetry_Int_Tables_number 1
_symmetry_space_group_name_Hall 'P 1'
_cell_length_a 2.807
_cell_length_b 4.520
_cell_length_c 4.520
_cell_angle_alpha 120.00
_cell_angle_beta 90.00
_cell_angle_gamma 90.00
loop_
_atom_site_label
_atom_site_fract_x
_atom_site_fract_y
_atom_site_fract_z
Tl1 0.500 0.333 0.667
Rh1 0.500 0.667 0.333
Mo1 0.000 0.000 0.000
# **Crystal system**: hexagonal
# **Symmetry**: P-6m2

***

No. 2
# SCAN Tl2MoRh, PBEsol geometry
data_Tl2MoRh
_chemical_formula_sum 'Tl2 Mo1 Rh1'
_symmetry_space_group_name_H-M 'P 1'
_symmetry_Int_Tables_number 1
_symmetry_space_group_name_Hall 'P 1'
_cell_length_a 2.922
_cell_length_b 4.769
_cell_length_c 6.148
_cell_angle_alpha 112.82
_cell_angle_beta 103.75
_cell_angle_gamma 90.00
loop_
_atom_site_label
_atom_site_fract_x
_atom_site_fract_y
_atom_site_fract_z
Tl1 0.770 0.270 0.541
Tl2 0.978 0.978 0.955
Rh1 0.222 0.722 0.444
Mo1 0.530 0.530 0.060
# **Crystal system**: orthorhombic
# **Symmetry**: Imm2

***

No. 3
# SCAN Tl2MoRh, PBEsol geometry
data_Tl2MoRh
_chemical_formula_sum 'Tl2 Mo1 Rh1'
_symmetry_space_group_name_H-M 'P 1'
_symmetry_Int_Tables_number 1
_symmetry_space_group_name_Hall 'P 1'
_cell_length_a 3.052
_cell_length_b 4.664
_cell_length_c 5.224
_cell_angle_alpha 90.00
_cell_angle_beta 90.00
_cell_angle_gamma 90.00
loop_
_atom_site_label
_atom_site_fract_x
_atom_site_fract_y
_atom_site_fract_z
Tl1 0.000 0.000 0.000
Rh1 0.000 0.500 0.500
Tl2 0.500 0.000 0.500
Mo1 0.500 0.500 0.000
# **Crystal system**: orthorhombic
# **Symmetry**: Pmmm

***

No. 4
# SCAN Tl2MoRh, PBEsol geometry
data_Tl2MoRh
_chemical_formula_sum 'Tl2 Mo1 Rh1'
_symmetry_space_group_name_H-M 'P 1'
_symmetry_Int_Tables_number 1
_symmetry_space_group_name_Hall 'P 1'
_cell_length_a 3.071
_cell_length_b 5.178
_cell_length_c 5.537
_cell_angle_alpha 117.88
_cell_angle_beta 106.10
_cell_angle_gamma 90.00
loop_
_atom_site_label
_atom_site_fract_x
_atom_site_fract_y
_atom_site_fract_z
Tl1 0.739 0.739 0.478
Tl2 0.261 0.261 0.522
Rh1 0.000 0.500 0.000
Mo1 0.500 0.000 0.000
# **Crystal system**: orthorhombic
# **Symmetry**: Immm

***

The records above give, respectively, E_tot values of -3.420, -3.884, -3.874, -3.875 Ry/atom.
The records above give, respectively, formation energy from the elements values of 474, 499, 639, 616 meV/atom.